Material: Rb3AlO3
Method: DFT, PBE-GGA
State: optimized geometry

a = 4.462 Å, b = 6.869 Å, c = 6.869 Å
α = 115.45°, β = 102.50°, γ = 102.50°
Element x y z (fractional)
O 0.433 0.258 0.000
O 0.175 0.742 0.742
O 0.433 0.000 0.258
Rb 0.520 0.493 0.493
Rb 0.028 0.507 0.000
Rb 0.028 0.000 0.507
Al 0.359 0.000 0.000

Computed properties:
- DFT total energy: -4.84 eV per atom
- Energy relative to the lowest polymorph listed for this composition: 136 meV/atom
- SG: R3m, No. 160

---

Material: Rb3AlO
Method: DFT, PBE-GGA
State: optimized geometry

a = 5.753 Å, b = 5.753 Å, c = 5.753 Å
α = 90.00°, β = 90.00°, γ = 90.00°
Last column: magnetic moment on the atom in μB.
Element x y z (fractional)
Rb 0.000 0.000 0.500  0.03
Rb 0.000 0.500 0.000  0.02
Rb 0.500 0.000 0.000  0.02
O 0.000 0.000 0.000  0.17
Al 0.500 0.500 0.500  0.19

Computed properties:
- DFT total energy: -2.49 eV per atom
- Energy relative to the lowest polymorph listed for this composition: 0 meV/atom
- SG: Pm-3m, No. 221

---

Material: Rb3AlO3
Method: DFT, PBE-GGA
State: optimized geometry

a = 6.934 Å, b = 7.550 Å, c = 11.004 Å
α = 96.23°, β = 90.00°, γ = 90.00°
Element x y z (fractional)
Rb 0.671 0.648 0.573
Rb 0.171 0.352 0.927
Rb 0.829 0.648 0.073
Rb 0.183 0.632 0.695
Rb 0.383 0.047 0.655
Rb 0.683 0.368 0.805
Rb 0.317 0.632 0.195
Rb 0.117 0.047 0.155
Rb 0.817 0.368 0.305
Rb 0.617 0.953 0.345
Rb 0.329 0.352 0.427
Rb 0.883 0.953 0.845
O 0.943 0.907 0.584
O 0.555 0.719 0.823
O 0.945 0.719 0.323
O 0.057 0.093 0.416
O 0.557 0.907 0.084
O 0.191 0.766 0.961
O 0.445 0.281 0.177
O 0.309 0.766 0.461
O 0.809 0.234 0.039
O 0.691 0.234 0.539
O 0.055 0.281 0.677
O 0.443 0.093 0.916
Al 0.426 0.852 0.938
Al 0.926 0.148 0.562
Al 0.574 0.148 0.062
Al 0.074 0.852 0.438

Computed properties:
- DFT total energy: -4.97 eV per atom
- Energy relative to the lowest polymorph listed for this composition: 1 meV/atom
- SG: P2_1/c, No. 14

---

Material: RbAl4O7
Method: DFT, PBE-GGA
State: optimized geometry

a = 5.076 Å, b = 5.405 Å, c = 13.318 Å
α = 90.00°, β = 90.00°, γ = 90.00°
Last column: magnetic moment on the atom in μB.
Element x y z (fractional)
Al 0.082 0.318 0.378  -0.01
Al 0.578 0.168 0.251  0.00
Al 0.082 0.318 0.622  -0.01
Al 0.078 0.832 0.249  0.00
Al 0.578 0.168 0.749  0.00
Al 0.582 0.682 0.122  -0.01
Al 0.582 0.682 0.878  -0.01
Al 0.078 0.832 0.751  0.00
O 0.985 0.240 0.500  0.17
O 0.418 0.255 0.638  0.18
O 0.918 0.745 0.138  0.18
O 0.533 0.371 0.849  0.14
O 0.417 0.882 0.214  0.02
O 0.485 0.760 0.000  0.17
O 0.917 0.118 0.714  0.02
O 0.418 0.255 0.362  0.18
O 0.918 0.745 0.862  0.18
O 0.917 0.118 0.286  0.02
O 0.033 0.629 0.349  0.14
O 0.033 0.629 0.651  0.14
O 0.533 0.371 0.151  0.14
O 0.417 0.882 0.786  0.02
Rb 0.112 0.198 0.000  0.00
Rb 0.612 0.802 0.500  0.00

Computed properties:
- DFT total energy: -6.86 eV per atom
- SG: Pmn2_1, No. 31

---

Material: Rb3AlO3
Method: DFT, PBE-GGA
State: optimized geometry

a = 6.882 Å, b = 6.882 Å, c = 6.895 Å
α = 82.46°, β = 82.46°, γ = 115.61°
Element x y z (fractional)
Al 0.156 0.156 0.853
Al 0.844 0.844 0.147
Rb 0.370 0.370 0.346
Rb 0.200 0.800 0.500
Rb 0.265 0.735 0.000
Rb 0.735 0.265 0.000
Rb 0.630 0.630 0.654
Rb 0.800 0.200 0.500
O 0.100 0.100 0.131
O 0.900 0.900 0.869
O 0.398 0.147 0.738
O 0.853 0.602 0.262
O 0.147 0.398 0.738
O 0.602 0.853 0.262

Computed properties:
- DFT total energy: -4.97 eV per atom
- Energy relative to the lowest polymorph listed for this composition: 0 meV/atom
- SG: C2/m, No. 12

---

Material: RbAl11O17
Method: DFT, PBE-GGA
State: optimized geometry

a = 5.653 Å, b = 5.653 Å, c = 23.079 Å
α = 90.00°, β = 90.00°, γ = 120.00°
Element x y z (fractional)
O 0.667 0.333 0.055
O 0.843 0.157 0.951
O 0.000 0.000 0.360
O 0.843 0.157 0.549
O 0.314 0.157 0.951
O 0.157 0.314 0.451
O 0.997 0.498 0.356
O 0.686 0.843 0.451
O 0.843 0.686 0.549
O 0.003 0.502 0.644
O 0.333 0.667 0.555
O 0.667 0.333 0.445
O 0.498 0.997 0.644
O 0.686 0.843 0.049
O 0.502 0.498 0.356
O 0.157 0.843 0.049
O 0.157 0.314 0.049
O 0.502 0.003 0.356
O 0.000 0.000 0.640
O 0.498 0.502 0.856
O 0.157 0.843 0.451
O 0.502 0.498 0.144
O 0.502 0.003 0.144
O 0.498 0.997 0.856
O 0.000 0.000 0.140
O 0.314 0.157 0.549
O 0.333 0.667 0.945
O 0.843 0.686 0.951
O 0.498 0.502 0.644
O 0.667 0.333 0.750
O 0.003 0.502 0.856
O 0.333 0.667 0.250
O 0.000 0.000 0.860
O 0.997 0.498 0.144
Al 0.167 0.335 0.895
Al 0.333 0.667 0.475
Al 0.333 0.667 0.325
Al 0.335 0.167 0.395
Al 0.167 0.335 0.605
Al 0.833 0.167 0.105
Al 0.000 0.000 0.500
Al 0.833 0.167 0.395
Al 0.667 0.333 0.675
Al 0.335 0.167 0.105
Al 0.333 0.667 0.175
Al 0.665 0.833 0.605
Al 0.667 0.333 0.825
Al 0.167 0.833 0.895
Al 0.667 0.333 0.525
Al 0.833 0.665 0.395
Al 0.000 0.000 0.000
Al 0.167 0.833 0.605
Al 0.667 0.333 0.975
Al 0.333 0.667 0.025
Al 0.833 0.665 0.105
Al 0.665 0.833 0.895
Rb 0.333 0.667 0.750
Rb 0.667 0.333 0.250

Computed properties:
- DFT total energy: -7.33 eV per atom
- SG: P6_3/mmc, No. 194

---

Material: RbAlRe2O8
Method: DFT, PBE-GGA
State: optimized geometry

a = 5.402 Å, b = 5.402 Å, c = 8.264 Å
α = 87.04°, β = 87.04°, γ = 63.13°
Last column: magnetic moment on the atom in μB.
Element x y z (fractional)
O 0.798 0.269 0.161  0.04
O 0.802 0.802 0.068  0.07
O 0.202 0.731 0.839  0.04
O 0.731 0.202 0.839  0.04
O 0.269 0.798 0.161  0.04
O 0.198 0.198 0.932  0.07
O 0.318 0.318 0.595  0.06
O 0.682 0.682 0.405  0.06
Al 0.000 0.000 0.000  0.02
Re 0.639 0.639 0.200  0.68
Re 0.361 0.361 0.800  0.68
Rb 0.000 0.000 0.500  0.00

Computed properties:
- DFT total energy: -7.59 eV per atom
- SG: C2/m, No. 12

---

Material: Rb2AlRhO4
Method: DFT, PBE-GGA
State: optimized geometry

a = 5.481 Å, b = 6.650 Å, c = 10.502 Å
α = 83.83°, β = 74.87°, γ = 65.66°
Element x y z (fractional)
O 0.495 0.658 0.414
O 0.091 0.342 0.414
O 0.848 0.658 0.586
O 0.567 0.342 0.586
O 0.659 0.158 0.086
O 0.183 0.158 0.914
O 0.255 0.842 0.086
O 0.902 0.842 0.914
Rh 0.500 0.000 0.000
Rh 0.250 0.500 0.500
Rb 0.573 0.500 0.854
Rb 0.177 0.000 0.646
Rb 0.927 0.500 0.146
Rb 0.823 0.000 0.354
Al 0.000 0.000 0.000
Al 0.750 0.500 0.500

Computed properties:
- DFT total energy: -5.60 eV per atom
- SG: Fddd, No. 70

---

Question: The highest DFT total energy belongs to which entry?
Answer: Rb3AlO